A plane-wave DFT calculation with PBE was carried out for a relaxed structure of RbInPb.

Unit cell a=7.508 b=8.375 c=9.258 alpha=79.53 beta=66.08 gamma=63.37
Positions (direct):
Rb: 0.143 0.500 0.714
Rb: 0.357 0.500 0.286
Rb: 0.607 0.000 0.786
Rb: 0.393 0.000 0.214
In: 0.587 0.500 0.827
In: 0.913 0.500 0.173
In: 0.163 0.000 0.673
In: 0.837 0.000 0.327
Pb: 0.860 0.279 0.500
Pb: 0.640 0.721 0.500
Pb: 0.890 0.221 0.000
Pb: 0.110 0.779 0.000

* total magnetization: 0.0 μB per formula unit
* ΔH_f (0 K): -0.1 eV per formula unit
* crystal system: orthorhombic
* DOS(E_F): 0.56 states/eV per atom